(1)
Density functional theory data (PBE-GGA) for crystalline Co7Ni3Rh2 at its relaxed geometry.

Lattice parameters (Å, degrees): 4.057 2.559 13.984 90.00 93.50 90.00
Space group P2/m (No. 10)
Unique sites:
Co: 0.000 0.000 0.000
Co: 0.180 0.500 0.160
Co: 0.258 0.500 0.538
Co: 0.318 0.000 0.861
Ni: 0.225 0.000 0.380
Ni: 0.500 0.500 0.000
Rh: 0.294 0.500 0.710

Results
- energy of formation from the pure elements (eV/atom) = 0.21

***

(2)
Density functional theory data (PBE-GGA) for crystalline CoNi4Rh2 at its relaxed geometry.

Lattice parameters (Å, degrees): 5.030 7.638 9.385 90.00 101.84 90.00
Space group Cc (No. 9)
Unique sites:
Co: 0.000 0.229 0.000
Ni: 0.007 0.201 0.493
Ni: 0.107 0.492 0.386
Ni: 0.195 0.217 0.273
Ni: 0.358 0.495 0.657
Rh: 0.193 0.218 0.769
Rh: 0.362 0.015 0.102

Results
- E above lowest polymorph (meV/atom) = 0.0
- energy of formation from the pure elements (eV/atom) = 0.18

***

(3)
Density functional theory data (PBE-GGA) for crystalline Co2NiRh8 at its relaxed geometry.

Lattice parameters (Å, degrees): 7.794 9.847 4.054 90.00 90.00 90.00
Space group Cmmm (No. 65)
Unique sites:
Co: 0.000 0.116 0.000
Ni: 0.000 0.500 0.500
Rh: 0.000 0.245 0.500
Rh: 0.167 0.000 0.500
Rh: 0.167 0.367 0.000

Results
- energy of formation from the pure elements (eV/atom) = 0.25

***

(4)
Density functional theory data (PBE-GGA) for crystalline Co6Ni5Rh2 at its relaxed geometry.

Lattice parameters (Å, degrees): 8.372 14.359 2.551 90.00 90.00 90.00
Space group Pbam (No. 55)
Unique sites:
Co: 0.056 0.075 0.000
Co: 0.062 0.365 0.000
Co: 0.192 0.622 0.500
Ni: 0.000 0.500 0.500
Ni: 0.087 0.222 0.500
Ni: 0.211 0.950 0.500
Rh: 0.170 0.784 0.000

Results
- energy of formation from the pure elements (eV/atom) = 0.12

***

(5)
Density functional theory data (PBE-GGA) for crystalline Co2NiRh at its relaxed geometry.

Lattice parameters (Å, degrees): 2.596 3.586 5.154 90.00 90.00 90.00
Space group Pmmm (No. 47)
Unique sites:
Co: 0.000 0.000 0.235
Ni: 0.500 0.500 0.000
Rh: 0.500 0.500 0.500

Results
- energy of formation from the pure elements (eV/atom) = 0.04

***

(6)
Density functional theory data (PBE-GGA) for crystalline Co3NiRh at its relaxed geometry.

Lattice parameters (Å, degrees): 4.196 4.196 4.196 90.00 90.00 90.00
Space group Pm-3m (No. 221)
Unique sites:
Co: 0.000 0.000 0.500
Ni: 0.000 0.000 0.000
Rh: 0.500 0.500 0.500

Results
- E above lowest polymorph (meV/atom) = 1023.3
- energy of formation from the pure elements (eV/atom) = 1.14

***

(7)
Density functional theory data (PBE-GGA) for crystalline Co3Ni2Rh4 at its relaxed geometry.

Lattice parameters (Å, degrees): 12.809 2.654 8.779 90.00 129.89 90.00
Space group C2/m (No. 12)
Unique sites:
Co: 0.000 0.000 0.000
Co: 0.128 0.500 0.594
Ni: 0.203 0.500 0.072
Rh: 0.042 0.000 0.741
Rh: 0.167 0.500 0.326

Results
- energy of formation from the pure elements (eV/atom) = 0.06

***

(8)
Density functional theory data (PBE-GGA) for crystalline CoNiRh at its relaxed geometry.

Lattice parameters (Å, degrees): 2.6162 2.6162 6.2509 90.00 90.00 120.00
Space group P3m1 (No. 156)
Unique sites:
Co: 0.0000 0.0000 0.0000
Ni: 0.6667 0.3333 0.3151
Rh: 0.3333 0.6667 0.6621

Results
- E above lowest polymorph (meV/atom) = 18.2
- energy of formation from the pure elements (eV/atom) = 0.06

***

(9)
Density functional theory data (PBE-GGA) for crystalline Co2NiRh at its relaxed geometry.

Lattice parameters (Å, degrees): 2.994 2.994 5.393 90.00 90.00 90.00
Space group P4/mmm (No. 123)
Unique sites:
Co: 0.000 0.000 0.224
Ni: 0.500 0.500 0.000
Rh: 0.500 0.500 0.500

Results
- energy of formation from the pure elements (eV/atom) = 0.11

***

(10)
Density functional theory data (PBE-GGA) for crystalline Co2NiRh at its relaxed geometry.

Lattice parameters (Å, degrees): 3.625 3.625 3.645 90.00 90.00 90.00
Space group P4/mmm (No. 123)
Unique sites:
Co: 0.000 0.500 0.000
Ni: 0.000 0.000 0.500
Rh: 0.500 0.500 0.500

Results
- energy of formation from the pure elements (eV/atom) = 0.04

***

(11)
Density functional theory data (PBE-GGA) for crystalline Co2NiRh at its relaxed geometry.

Lattice parameters (Å, degrees): 3.650 3.650 7.189 90.00 90.00 90.00
Space group I-4m2 (No. 119)
Unique sites:
Co: 0.000 0.000 0.000
Co: 0.000 0.500 0.250
Ni: 0.000 0.000 0.500
Rh: 0.000 0.500 0.750

Results
- energy of formation from the pure elements (eV/atom) = 0.03

***

(12)
Density functional theory data (PBE-GGA) for crystalline Co4Ni2Rh at its relaxed geometry.

Lattice parameters (Å, degrees): 4.572 8.510 4.826 90.00 118.09 90.00
Space group C2/m (No. 12)
Unique sites:
Co: 0.000 0.194 0.000
Co: 0.194 0.000 0.388
Ni: 0.000 0.250 0.500
Rh: 0.000 0.500 0.000

Results
- E above lowest polymorph (meV/atom) = 0.0
- energy of formation from the pure elements (eV/atom) = 0.17

***

(13)
Density functional theory data (PBE-GGA) for crystalline Co2Ni7Rh2 at its relaxed geometry.

Lattice parameters (Å, degrees): 8.784 7.332 4.335 90.00 104.17 90.00
Space group C2/m (No. 12)
Unique sites:
Co: 0.247 0.000 0.248
Ni: 0.000 0.000 0.500
Ni: 0.038 0.500 0.274
Ni: 0.228 0.174 0.735
Rh: 0.000 0.189 0.000

Results
- E above lowest polymorph (meV/atom) = 74.3
- energy of formation from the pure elements (eV/atom) = 0.23

***

(14)
Density functional theory data (PBE-GGA) for crystalline Co2Ni2Rh at its relaxed geometry.

Lattice parameters (Å, degrees): 4.253 6.382 4.820 90.00 90.00 90.00
Space group Cmmm (No. 65)
Unique sites:
Co: 0.000 0.173 0.000
Ni: 0.000 0.500 0.247
Rh: 0.000 0.000 0.500

Results
- E above lowest polymorph (meV/atom) = 366.9
- energy of formation from the pure elements (eV/atom) = 0.38

***

(15)
Density functional theory data (PBE-GGA) for crystalline Co2NiRh at its relaxed geometry.

Lattice parameters (Å, degrees): 8.507 2.610 4.400 90.00 100.58 90.00
Space group C2/m (No. 12)
Unique sites:
Co: 0.248 0.000 0.239
Ni: 0.000 0.500 0.000
Rh: 0.000 0.000 0.500

Results
- energy of formation from the pure elements (eV/atom) = 0.05

***

(16)
Density functional theory data (PBE-GGA) for crystalline CoNiRh at its relaxed geometry.

Lattice parameters (Å, degrees): 3.005 3.005 8.224 90.00 90.00 90.00
Space group I4mm (No. 107)
Unique sites:
Co: 0.000 0.000 0.000
Ni: 0.000 0.000 0.643
Rh: 0.000 0.000 0.322

Results
- E above lowest polymorph (meV/atom) = 78.6
- energy of formation from the pure elements (eV/atom) = 0.12

***

(17)
Density functional theory data (PBE-GGA) for crystalline Co2Ni4Rh3 at its relaxed geometry.

Lattice parameters (Å, degrees): 4.493 6.708 7.999 72.52 74.53 89.78
Space group P-1 (No. 2)
Unique sites:
Co: 0.107 0.360 0.111
Co: 0.337 0.919 0.665
Ni: 0.003 0.585 0.334
Ni: 0.227 0.978 0.220
Ni: 0.329 0.748 0.001
Ni: 0.441 0.693 0.443
Rh: 0.106 0.197 0.447
Rh: 0.227 0.136 0.885
Rh: 0.439 0.531 0.781

Results
- energy of formation from the pure elements (eV/atom) = 0.03

***

(18)
Density functional theory data (PBE-GGA) for crystalline Co5NiRh at its relaxed geometry.

Lattice parameters (Å, degrees): 7.293 7.753 6.115 90.00 90.00 90.00
Space group Imma (No. 74)
Unique sites:
Co: 0.000 0.028 0.228
Co: 0.000 0.250 0.955
Co: 0.241 0.000 0.500
Ni: 0.250 0.250 0.250
Rh: 0.000 0.250 0.547

Results
- energy of formation from the pure elements (eV/atom) = 0.22

***

(19)
Density functional theory data (PBE-GGA) for crystalline CoNi12Rh3 at its relaxed geometry.

Lattice parameters (Å, degrees): 3.599 3.599 14.384 90.00 90.00 90.00
Space group P4/mmm (No. 123)
Unique sites:
Co: 0.000 0.000 0.000
Ni: 0.000 0.500 0.119
Ni: 0.000 0.500 0.373
Ni: 0.500 0.500 0.000
Ni: 0.500 0.500 0.246
Ni: 0.500 0.500 0.500
Rh: 0.000 0.000 0.247
Rh: 0.000 0.000 0.500

Results
- energy of formation from the pure elements (eV/atom) = 0.03

***

(20)
Density functional theory data (PBE-GGA) for crystalline Co2NiRh at its relaxed geometry.

Lattice parameters (Å, degrees): 2.967 2.967 5.483 90.00 90.00 90.00
Space group P4mm (No. 99)
Unique sites:
Co: 0.000 0.000 0.000
Co: 0.500 0.500 0.226
Ni: 0.000 0.000 0.451
Rh: 0.500 0.500 0.723

Results
- energy of formation from the pure elements (eV/atom) = 0.10